--- 1 ---
DFT (PBE) results for a relaxed structure of PmSm4N4.

Lattice parameters (Å, degrees): 5.080 6.252 6.252 80.54 66.10 66.08
Fractional positions:
Pm 0.000 0.000 0.000
Sm 0.186 0.424 0.204
Sm 0.390 0.796 0.424
Sm 0.610 0.204 0.576
Sm 0.814 0.576 0.796
N 0.098 0.202 0.604
N 0.299 0.604 0.799
N 0.701 0.396 0.201
N 0.902 0.798 0.396

***

--- 2 ---
DFT (PBE) results for a relaxed structure of PmSm4N4.

Lattice parameters (Å, degrees): 6.900 6.900 6.900 129.37 129.37 74.42
Fractional positions:
Pm 0.000 0.000 0.000
Sm 0.000 0.500 0.500
Sm 0.287 0.287 0.000
Sm 0.500 0.000 0.500
Sm 0.713 0.713 0.000
N 0.122 0.641 0.000
N 0.359 0.359 0.480
N 0.641 0.122 0.000
N 0.878 0.878 0.520

***

1 ends up most stable, edging out the next structure by 57.6 kJ/mol of atoms.

***

--- 1 ---
DFT (PBE) results for a relaxed structure of CuHg3Sb.

Lattice parameters (Å, degrees): 5.675 5.675 5.675 90.00 90.00 90.00
Fractional positions:
Cu 0.000 0.000 0.000
Hg 0.000 0.500 0.500
Hg 0.500 0.000 0.500
Hg 0.500 0.500 0.000
Sb 0.500 0.500 0.500

***

--- 2 ---
DFT (PBE) results for a relaxed structure of CuHg3Sb.

Lattice parameters (Å, degrees): 5.062 5.062 5.062 90.00 90.00 90.00
Fractional positions:
Cu 0.000 0.000 0.000
Hg 0.000 0.000 0.500
Hg 0.000 0.500 0.000
Hg 0.500 0.000 0.000
Sb 0.500 0.500 0.500

***

2 ends up most stable, edging out the next structure by 26.4 kJ/mol of atoms.

***

--- 1 ---
DFT (PBE) results for a relaxed structure of NaYC.

Lattice parameters (Å, degrees): 4.432 4.432 5.654 90.00 90.00 120.00
Fractional positions:
Na 0.000 0.000 0.000
Na 0.000 0.000 0.500
Y 0.333 0.667 0.261
Y 0.667 0.333 0.761
C 0.333 0.667 0.719
C 0.667 0.333 0.219

***

--- 2 ---
DFT (PBE) results for a relaxed structure of NaYC.

Lattice parameters (Å, degrees): 5.692 3.860 6.778 90.00 112.51 90.00
Fractional positions:
Na 0.000 0.000 0.000
Na 0.265 0.500 0.368
Y 0.449 0.500 0.866
Y 0.802 0.000 0.489
C 0.004 0.500 0.732
C 0.757 0.500 0.708

***

2 ends up most stable, edging out the next structure by 16.6 kJ/mol of atoms.

***

--- 1 ---
DFT (PBE) results for a relaxed structure of CdPRu2.

Lattice parameters (Å, degrees): 4.952 4.952 4.952 134.64 134.64 66.09
Fractional positions:
Cd 0.000 0.000 0.000
P 0.250 0.750 0.500
Ru 0.500 0.500 0.000
Ru 0.750 0.250 0.500

***

--- 2 ---
DFT (PBE) results for a relaxed structure of CdPRu2.

Lattice parameters (Å, degrees): 4.441 4.441 4.441 60.00 60.00 60.00
Fractional positions:
Cd 0.000 0.000 0.000
P 0.250 0.250 0.250
Ru 0.500 0.500 0.500
Ru 0.750 0.750 0.750

***

1 ends up most stable, edging out the next structure by 5.3 kJ/mol of atoms.

***

--- 1 ---
DFT (PBE) results for a relaxed structure of ZnW.

Lattice parameters (Å, degrees): 2.674 2.674 4.364 90.00 90.00 102.62
Fractional positions:
Zn 0.000 0.000 0.000
W 0.500 0.500 0.500

***

--- 2 ---
DFT (PBE) results for a relaxed structure of ZnW.

Lattice parameters (Å, degrees): 9.725 9.725 2.684 90.00 90.00 90.00
Fractional positions:
Zn 0.081 0.813 0.000
Zn 0.115 0.290 0.500
Zn 0.187 0.081 0.000
Zn 0.290 0.885 0.500
Zn 0.710 0.115 0.500
Zn 0.813 0.919 0.000
Zn 0.885 0.710 0.500
Zn 0.919 0.187 0.000
W 0.126 0.559 0.500
W 0.348 0.381 0.000
W 0.381 0.652 0.000
W 0.441 0.126 0.500
W 0.559 0.874 0.500
W 0.619 0.348 0.000
W 0.652 0.619 0.000
W 0.874 0.441 0.500

***

1 ends up most stable, edging out the next structure by 20.2 kJ/mol of atoms.

***

--- 1 ---
DFT (PBE) results for a relaxed structure of SrNiBr2.

Lattice parameters (Å, degrees): 5.251 5.251 5.251 60.00 60.00 60.00
Fractional positions:
Sr 0.000 0.000 0.000
Ni 0.250 0.250 0.250
Br 0.500 0.500 0.500
Br 0.750 0.750 0.750

***

--- 2 ---
DFT (PBE) results for a relaxed structure of SrNiBr2.

Lattice parameters (Å, degrees): 4.256 4.256 6.148 90.00 90.00 90.00
Fractional positions:
Sr 0.000 0.000 0.000
Ni 0.500 0.500 0.765
Br 0.000 0.000 0.525
Br 0.500 0.500 0.126

***

2 ends up most stable, edging out the next structure by 41.5 kJ/mol of atoms.

***

--- 1 ---
DFT (PBE) results for a relaxed structure of SrZrCo2.

Lattice parameters (Å, degrees): 7.348 7.348 7.348 30.91 30.91 30.91
Fractional positions:
Sr 0.000 0.000 0.000
Zr 0.176 0.176 0.176
Co 0.441 0.441 0.441
Co 0.776 0.776 0.776

***

--- 2 ---
DFT (PBE) results for a relaxed structure of SrZrCo2.

Lattice parameters (Å, degrees): 6.844 6.844 6.844 148.90 146.74 46.17
Fractional positions:
Sr 0.000 0.000 0.000
Zr 0.258 0.758 0.500
Co 0.626 0.626 0.000
Co 0.729 0.229 0.500

***

1 ends up most stable, edging out the next structure by 17.0 kJ/mol of atoms.

***

--- 1 ---
DFT (PBE) results for a relaxed structure of MnHPd3.

Lattice parameters (Å, degrees): 5.063 5.074 5.381 97.71 98.66 112.53
Fractional positions:
Mn 0.000 0.000 0.000
Mn 0.331 0.339 0.989
H 0.731 0.003 0.728
H 0.829 0.565 0.139
Pd 0.234 0.726 0.261
Pd 0.273 0.277 0.501
Pd 0.372 0.826 0.789
Pd 0.714 0.219 0.260
Pd 0.788 0.779 0.479
Pd 0.825 0.403 0.796

***

--- 2 ---
DFT (PBE) results for a relaxed structure of MnHPd3.

Lattice parameters (Å, degrees): 7.351 7.351 6.665 108.70 108.70 21.90
Fractional positions:
Mn 0.203 0.203 0.410
Mn 0.797 0.797 0.590
H 0.419 0.419 0.105
H 0.581 0.581 0.895
Pd 0.023 0.023 0.226
Pd 0.173 0.173 0.030
Pd 0.387 0.387 0.379
Pd 0.613 0.613 0.621
Pd 0.827 0.827 0.970
Pd 0.977 0.977 0.774

***

1 ends up most stable, edging out the next structure by 2.7 kJ/mol of atoms.

***

--- 1 ---
DFT (PBE) results for a relaxed structure of CeZrTe2.

Lattice parameters (Å, degrees): 5.224 5.224 5.224 60.00 60.00 60.00
Fractional positions:
Ce 0.000 0.000 0.000
Zr 0.500 0.500 0.500
Te 0.250 0.250 0.250
Te 0.750 0.750 0.750

***

--- 2 ---
DFT (PBE) results for a relaxed structure of CeZrTe2.

Lattice parameters (Å, degrees): 5.215 5.215 3.717 90.00 90.00 90.00
Fractional positions:
Ce 0.000 0.000 0.000
Zr 0.500 0.500 0.000
Te 0.000 0.500 0.500
Te 0.500 0.000 0.500

***

1 ends up most stable, edging out the next structure by 1.5 kJ/mol of atoms.

***

--- 1 ---
DFT (PBE) results for a relaxed structure of HgW.

Lattice parameters (Å, degrees): 2.822 2.822 4.559 90.00 90.00 90.00
Fractional positions:
Hg 0.000 0.000 0.000
W 0.500 0.500 0.500

***

--- 2 ---
DFT (PBE) results for a relaxed structure of HgW.

Lattice parameters (Å, degrees): 2.935 2.935 4.902 90.00 90.00 120.00
Fractional positions:
Hg 0.000 0.000 0.000
W 0.333 0.667 0.500

***

2 ends up most stable, edging out the next structure by 8.4 kJ/mol of atoms.

***

--- 1 ---
DFT (PBE) results for a relaxed structure of LaRe2Pt.

Lattice parameters (Å, degrees): 10.371 10.371 10.371 15.79 15.79 15.79
Fractional positions:
La 0.000 0.000 0.000
Re 0.239 0.239 0.239
Re 0.761 0.761 0.761
Pt 0.500 0.500 0.500

***

--- 2 ---
DFT (PBE) results for a relaxed structure of LaRe2Pt.

Lattice parameters (Å, degrees): 5.634 5.634 5.634 146.41 126.50 64.66
Fractional positions:
La 0.000 0.000 0.000
Re 0.515 0.515 0.000
Re 0.709 0.209 0.500
Pt 0.284 0.784 0.500

***

2 ends up most stable, edging out the next structure by 23.5 kJ/mol of atoms.